Here is an optimized crystal structure of TmPaFe2O6 from Alexandria. Energies are from PBE+U.

Results
**DOS at the Fermi energy**: 0.00 states/eV/cell
**Final energy**: -8.1331 eV/atom
**Total magnetization**: 16.0 μB per cell

Cell: 9.888 6.003 5.453 Å, 90.00 122.89 90.00°
Space group C2/m (No. 12)
Symmetry-distinct sites (fractional):
Tm (0.000, 0.000, 0.000) (multiplicity 2)
Pa (0.000, 0.500, 0.500) (multiplicity 2)
Fe (0.249, 0.000, 0.799) (multiplicity 4)
O (0.095, 0.251, 0.840) (multiplicity 8)
O (0.245, 0.500, 0.558) (multiplicity 4)